The following is a DFT calculation (GGA-PBE) of crystalline Li4Ca3Mg2 at its relaxed geometry.

Unit cell a=10.7605 b=5.0428 c=9.4624 alpha=90.00 beta=99.36 gamma=90.00
With the nearest neighbours (Å) after each atom.
Space group C2/m (No. 12)
Symmetry-distinct sites (fractional):
Li (0.0642, 0.0000, 0.1518)  2 Li 2.98-3.25, 2 Mg 3.00, 2 Ca 3.28
Li (0.2100, 0.5000, 0.5743)  3 Mg 2.90-3.03, 2 Li 3.08, 1 Ca 3.23
Ca (0.0000, 0.0000, 0.5000)  8 Li 3.31-3.47, 2 Mg 3.64
Ca (0.1339, 0.5000, 0.8910)  4 Li 3.23-3.34, 4 Mg 3.50-3.62
Mg (0.1959, 0.5000, 0.2656)  5 Li 2.90-3.03

- crystal system = monoclinic
- E_tot (eV per atom) = -1.86
- formation enthalpy at 0 K (eV/atom) = 0.007
- DOS(E_F) (states/eV/f.u.) = 6.546

---

The following is a DFT calculation (GGA-PBE) of crystalline Li7Ca2Mg at its relaxed geometry.

Unit cell a=10.2294 b=10.2294 c=10.2294 alpha=90.00 beta=90.00 gamma=90.00
With the nearest neighbours (Å) after each atom.
Space group Fm-3m (No. 225)
Symmetry-distinct sites (fractional):
Li (0.0000, 0.0000, 0.0000)  6 Li 2.47
Li (0.0000, 0.0000, 0.2415)  1 Li 2.47, 1 Mg 2.64
Ca (0.2500, 0.2500, 0.2500)  12 Li 3.62
Mg (0.0000, 0.0000, 0.5000)  6 Li 2.64

- crystal system = cubic
- E_tot (eV per atom) = -1.72
- formation enthalpy at 0 K (eV/atom) = 0.183
- DOS(E_F) (states/eV/f.u.) = 8.439

---

The following is a DFT calculation (GGA-PBE) of crystalline Li3Ca3Mg2 at its relaxed geometry.

Unit cell a=5.3901 b=5.5422 c=7.8133 alpha=90.00 beta=90.00 gamma=90.00
With the nearest neighbours (Å) after each atom.
Space group Pmmm (No. 47)
Symmetry-distinct sites (fractional):
Li (0.0000, 0.0000, 0.0000)  4 Mg 3.23, 4 Li 3.32
Li (0.0000, 0.5000, 0.2349)  6 Ca 3.26-3.46, 2 Li 3.32
Ca (0.0000, 0.0000, 0.5000)  4 Mg 3.43, 4 Li 3.46
Ca (0.5000, 0.5000, 0.0000)  4 Li 3.26, 4 Mg 3.30
Ca (0.5000, 0.5000, 0.5000)  4 Li 3.40, 4 Mg 3.49
Mg (0.5000, 0.0000, 0.2287)  2 Li 3.23, 6 Ca 3.30-3.49, 1 Mg 3.57

- crystal system = orthorhombic
- E_tot (eV per atom) = -1.86
- formation enthalpy at 0 K (eV/atom) = 0.007
- DOS(E_F) (states/eV/f.u.) = 6.530

---

The following is a DFT calculation (GGA-PBE) of crystalline LiCa6Mg3 at its relaxed geometry.

Unit cell a=9.8067 b=5.7856 c=12.3307 alpha=90.00 beta=107.66 gamma=90.00
With the nearest neighbours (Å) after each atom.
Space group P2_1/m (No. 11)
Symmetry-distinct sites (fractional):
Li (0.0514, 0.2500, 0.4047)  8 Ca 3.34-3.57
Ca (0.0835, 0.7500, 0.8785)  1 Li 3.34, 4 Mg 3.40-3.68, 3 Ca 3.59-3.62
Ca (0.1486, 0.7500, 0.1816)  8 Ca 3.59-3.78, 4 Mg 3.74-3.88
Ca (0.1618, 0.2500, 0.6980)  3 Mg 3.37-3.56, 3 Li 3.45-3.57, 1 Ca 3.77
Ca (0.2494, 0.7500, 0.5028)  4 Mg 3.36-3.59, 3 Li 3.47-3.49
Ca (0.3518, 0.2500, 0.3230)  5 Mg 3.33-3.55, 1 Li 3.39, 2 Ca 3.64
Ca (0.4681, 0.7500, 0.0879)  7 Mg 3.40-3.63, 4 Ca 3.65-3.78
Mg (0.2338, 0.2500, 0.0210)  11 Ca 3.47-3.83, 1 Mg 3.81
Mg (0.3789, 0.7500, 0.7886)  8 Ca 3.33-3.56
Mg (0.4609, 0.2500, 0.6171)  8 Ca 3.37-3.59

- crystal system = monoclinic
- E_tot (eV per atom) = -1.90
- formation enthalpy at 0 K (eV/atom) = -0.025
- DOS(E_F) (states/eV/f.u.) = 10.257
- energy above the most stable polymorph in this dataset (meV/atom) = 0

---

The following is a DFT calculation (GGA-PBE) of crystalline LiCa6Mg3 at its relaxed geometry.

Unit cell a=10.0670 b=12.0320 c=5.6528 alpha=90.00 beta=90.00 gamma=90.00
With the nearest neighbours (Å) after each atom.
Space group Pnnm (No. 58)
Symmetry-distinct sites (fractional):
Li (0.0000, 0.0000, 0.0000)  2 Ca 2.92
Ca (0.0050, 0.2426, 0.0000)  1 Li 2.92, 1 Mg 3.10
Ca (0.1617, 0.5898, 0.5000)  4 Mg 3.44-3.72, 1 Li 3.57, 3 Ca 3.82-3.83
Ca (0.1709, 0.9278, 0.5000)  2 Li 3.42, 3 Mg 3.43-3.67, 2 Ca 3.82
Mg (0.0000, 0.5000, 0.0000)  8 Ca 3.10-3.44
Mg (0.1742, 0.2819, 0.5000)  7 Ca 3.33-3.72

- crystal system = orthorhombic
- E_tot (eV per atom) = -1.82
- formation enthalpy at 0 K (eV/atom) = 0.052
- DOS(E_F) (states/eV/f.u.) = 10.029
- energy above the most stable polymorph in this dataset (meV/atom) = 77

---

The following is a DFT calculation (GGA-PBE) of crystalline Li8CaMg2 at its relaxed geometry.

Unit cell a=8.0182 b=15.2996 c=5.2536 alpha=90.00 beta=130.92 gamma=90.00
With the nearest neighbours (Å) after each atom.
Space group C2/m (No. 12)
Symmetry-distinct sites (fractional):
Li (0.0000, 0.2130, 0.0000)  2 Li 2.83, 4 Mg 3.08-3.12
Li (0.0012, 0.5000, 0.7525)  2 Li 2.61-2.64
Li (0.2322, 0.1356, 0.7311)  4 Li 2.81-2.94, 1 Mg 3.15
Ca (0.0000, 0.0000, 0.0000)  14 Li 3.26-3.63
Mg (0.0000, 0.3226, 0.5000)  12 Li 3.02-3.19

- crystal system = monoclinic
- E_tot (eV per atom) = -1.85
- formation enthalpy at 0 K (eV/atom) = 0.010
- DOS(E_F) (states/eV/f.u.) = 6.340
- energy above the most stable polymorph in this dataset (meV/atom) = 0

---

The following is a DFT calculation (GGA-PBE) of crystalline Li3CaMg3 at its relaxed geometry.

Unit cell a=7.7016 b=7.7016 c=19.7341 alpha=90.00 beta=90.00 gamma=120.00
With the nearest neighbours (Å) after each atom.
Space group R-3 (No. 148, hexagonal axes)
Symmetry-distinct sites (fractional):
Li (0.9997, 0.2154, 0.0597)  4 Li 2.87-2.88, 3 Mg 2.90-3.14, 1 Ca 3.22
Ca (0.0000, 0.0000, 0.3542)  6 Li 3.22-3.50, 6 Mg 3.46-3.48
Mg (0.0543, 0.2657, 0.2054)  3 Li 2.90-3.14, 4 Mg 3.14-3.24

- crystal system = trigonal
- E_tot (eV per atom) = -1.77
- formation enthalpy at 0 K (eV/atom) = 0.017
- DOS(E_F) (states/eV/f.u.) = 6.043
- energy above the most stable polymorph in this dataset (meV/atom) = 0

---

The following is a DFT calculation (GGA-PBE) of crystalline LiCa2Mg2 at its relaxed geometry.

Unit cell a=3.8906 b=7.2430 c=10.6820 alpha=90.00 beta=90.00 gamma=90.00
With the nearest neighbours (Å) after each atom.
Space group Immm (No. 71)
Symmetry-distinct sites (fractional):
Li (0.0000, 0.0000, 0.0000)  4 Mg 2.85
Ca (0.0000, 0.5000, 0.2301)  2 Li 3.48, 6 Mg 3.49-3.56, 2 Ca 3.89
Mg (0.0000, 0.2122, 0.5000)  2 Li 2.85, 1 Mg 3.07

- crystal system = orthorhombic
- E_tot (eV per atom) = -1.84
- formation enthalpy at 0 K (eV/atom) = -0.014
- DOS(E_F) (states/eV/f.u.) = 4.131
- energy above the most stable polymorph in this dataset (meV/atom) = 0

---

- What is the DOS(E_F) in the fourth record?
  10.257 states/eV/f.u.

---

- Number 8 is which compound?
  LiCa2Mg2

---

- Among the records above, which one has the highest formation enthalpy at 0 K?
  Li7Ca2Mg